1.
# SmFeCo2H8

A relaxed structure of SmFeCo2H8 (PBE, Alexandria via LeMat-Bulk).

POSCAR file:
```
SmFeCo2H8
1.0
-2.793 0.126 3.392
-3.901 -2.007 -0.289
-0.091 -5.064 2.963
Sm Fe Co H
1 1 2 8
direct
0.500 0.500 0.500
0.000 0.000 0.000
0.300 0.300 0.101
0.700 0.700 0.899
0.198 0.198 0.407
0.641 0.316 0.141
0.802 0.802 0.593
0.901 0.641 0.141
0.099 0.359 0.859
0.316 0.901 0.141
0.684 0.099 0.859
0.359 0.684 0.859
```

The density of states at the Fermi level comes out at 5.378 states/eV/f.u.


2.
# Sr4LaCo

A relaxed structure of Sr4LaCo (PBE, Alexandria via LeMat-Bulk).

POSCAR file:
```
Sr4LaCo
1.0
0.000 5.150 5.150
5.150 0.000 5.150
5.150 5.150 0.000
Sr La Co
4 1 1
direct
0.876 0.375 0.375
0.375 0.375 0.876
0.375 0.876 0.375
0.375 0.375 0.375
0.000 0.000 0.000
0.750 0.750 0.750
```

The density of states at the Fermi level comes out at 14.847 states/eV/f.u. The formation energy from the elements comes out at 0.910 eV/atom.


3.
# MgCrPb2

A relaxed structure of MgCrPb2 (PBE, Alexandria via LeMat-Bulk).

POSCAR file:
```
MgCrPb2
1.0
-5.765 -7.244 0.376
-3.602 -7.957 3.092
-6.342 -5.754 3.540
Cr Mg Pb
1 1 2
direct
0.250 0.250 0.250
0.750 0.750 0.750
0.996 0.996 0.996
0.504 0.504 0.504
```

The density of states at the Fermi level comes out at 1.990 states/eV/f.u. The formation energy from the elements comes out at 0.322 eV/atom.


4.
# Be2NbFe2

A relaxed structure of Be2NbFe2 (PBE, Alexandria via LeMat-Bulk).

POSCAR file:
```
Be2NbFe2
1.0
6.457 0.000 0.000
0.000 6.457 0.000
0.000 0.000 2.661
Be Nb Fe
4 2 4
direct
0.151 0.651 0.500
0.651 0.849 0.500
0.849 0.349 0.500
0.349 0.151 0.500
0.000 0.000 0.000
0.500 0.500 0.000
0.360 0.860 0.000
0.860 0.640 0.000
0.640 0.140 0.000
0.140 0.360 0.000
```

The density of states at the Fermi level comes out at 4.550 states/eV/f.u. The formation energy from the elements comes out at 0.046 eV/atom. The calculation puts the excess energy over the best structure of this formula in the dataset at 0.70 eV/f.u.


5.
# BaPdI2

A relaxed structure of BaPdI2 (PBE, Alexandria via LeMat-Bulk).

POSCAR file:
```
BaPdI2
1.0
-0.043 0.024 4.445
0.961 -3.710 2.252
9.554 1.213 2.309
I Ba Pd
2 1 1
direct
0.116 0.116 0.652
0.884 0.884 0.348
0.000 0.000 0.000
0.500 0.500 0.500
```

The density of states at the Fermi level comes out at 5.103 states/eV/f.u. As for the uncorrected formation energy: -7.46 kcal/mol of atoms. The calculation puts the excess energy over the best structure of this formula in the dataset at 2.11 eV/f.u.


6.
# Er2Te3

A relaxed structure of Er2Te3 (PBE, Alexandria via LeMat-Bulk).

POSCAR file:
```
Er2Te3
1.0
-8.196 9.679 -6.694
-8.928 2.947 -9.933
-6.140 1.479 4.058
Er Te
8 12
direct
0.001 0.001 0.499
0.499 0.499 0.001
0.249 0.249 0.751
0.751 0.751 0.249
0.667 0.667 0.833
0.833 0.833 0.667
0.583 0.583 0.417
0.417 0.417 0.583
0.669 0.166 0.831
0.335 0.831 0.166
0.831 0.335 0.669
0.166 0.669 0.335
0.581 0.084 0.419
0.915 0.419 0.084
0.419 0.915 0.581
0.084 0.581 0.915
0.752 0.248 0.248
0.248 0.752 0.752
0.498 0.002 0.002
0.002 0.498 0.498
```

As for the uncorrected formation energy: -32.08 kcal/mol of atoms.


7.
# ZrIn3

A relaxed structure of ZrIn3 (PBE, Alexandria via LeMat-Bulk).

POSCAR file:
```
ZrIn3
1.0
6.086 -0.007 -0.003
2.711 5.449 0.003
-3.608 -3.998 2.834
Zr In
1 3
direct
0.432 0.750 0.682
0.003 0.006 0.996
0.490 0.494 0.996
0.909 0.250 0.659
```

The density of states at the Fermi level comes out at 1.627 states/eV/f.u. The formation energy from the elements comes out at -0.169 eV/atom.


8.
# RbBaTl2Pt

A relaxed structure of RbBaTl2Pt (PBE, Alexandria via LeMat-Bulk).

POSCAR file:
```
RbBaTl2Pt
1.0
-4.844 -0.365 -2.819
-1.549 -4.331 3.224
-2.523 3.768 3.849
Rb Tl Ba Pt
1 2 1 1
direct
0.500 0.500 0.500
0.000 0.500 0.000
0.500 0.000 0.000
0.000 0.000 0.500
0.000 0.000 0.000
```

The density of states at the Fermi level comes out at 4.215 states/eV/f.u. The formation energy from the elements comes out at -0.185 eV/atom.


9.
# VHgH

A relaxed structure of VHgH (PBE, Alexandria via LeMat-Bulk).

POSCAR file:
```
VHgH
1.0
3.085 0.000 0.000
1.542 5.275 0.000
1.542 0.000 9.944
H Hg V
4 4 4
direct
0.159 0.500 0.681
0.341 0.500 0.319
0.591 0.000 0.819
0.409 0.000 0.181
0.882 0.236 0.500
0.618 0.764 0.500
0.868 0.264 0.000
0.132 0.736 0.000
0.621 0.500 0.758
0.879 0.500 0.242
0.129 0.000 0.742
0.871 0.000 0.258
```

The density of states at the Fermi level comes out at 2.160 states/eV/f.u. The calculation puts the excess energy over the best structure of this formula in the dataset at 1.10 eV/f.u.


10.
# Dy2YTe

A relaxed structure of Dy2YTe (PBE, Alexandria via LeMat-Bulk).

POSCAR file:
```
Dy2YTe
1.0
3.876 0.000 0.000
0.000 3.876 0.000
0.000 0.000 7.860
Y Te Dy
1 1 2
direct
0.500 0.500 0.500
0.500 0.500 0.000
0.000 0.000 0.776
0.000 0.000 0.224
```

The density of states at the Fermi level comes out at 4.932 states/eV/f.u. As for the uncorrected formation energy: -12.78 kcal/mol of atoms. The calculation puts the excess energy over the best structure of this formula in the dataset at 0.43 eV/f.u.


11.
# Sc2MnS2

A relaxed structure of Sc2MnS2 (PBE, Alexandria via LeMat-Bulk).

POSCAR file:
```
Sc2MnS2
1.0
-3.104 3.495 2.016
-4.025 -2.511 -1.846
-3.770 -1.550 3.311
Sc S Mn
2 2 1
direct
0.750 0.250 0.500
0.250 0.750 0.500
0.291 0.291 0.419
0.709 0.709 0.581
0.000 0.000 0.000
```

The density of states at the Fermi level comes out at 3.559 states/eV/f.u. As for the uncorrected formation energy: -21.59 kcal/mol of atoms.


Number 1: calculated total energy -4.675 eV/atom, mass density 6.23 g/cm3. Number 2: calculated total energy -2.217 eV/atom, mass density 3.33 g/cm3. Number 3: calculated total energy -4.336 eV/atom, mass density 8.29 g/cm3. Number 4: calculated total energy -6.844 eV/atom, mass density 6.66 g/cm3. Number 5: calculated total energy -2.878 eV/atom, mass density 5.05 g/cm3. Number 6: calculated total energy -5.101 eV/atom, mass density 6.91 g/cm3. Number 7: calculated total energy -4.360 eV/atom, mass density 7.69 g/cm3. Number 8: calculated total energy -2.918 eV/atom, mass density 7.32 g/cm3. Number 9: calculated total energy -3.876 eV/atom, mass density 10.37 g/cm3. Number 10: calculated total energy -5.257 eV/atom, mass density 7.62 g/cm3. Number 11: calculated total energy -6.954 eV/atom, mass density 3.50 g/cm3.